A relaxed structure of K3SmAs2O8. Source: Alexandria, functional PBE-GGA.

Structure (POSCAR):
```
K3SmAs2O8
1.0
-5.028 0.492 3.239
0.062 -3.397 -4.947
2.136 -6.150 4.250
O As Sm K
8 2 1 3
direct
0.179 0.821 0.323
0.179 0.357 0.323
0.643 0.821 0.323
0.333 0.667 0.023
0.821 0.643 0.677
0.667 0.333 0.977
0.357 0.179 0.677
0.821 0.179 0.677
0.333 0.667 0.238
0.667 0.333 0.762
0.000 0.000 0.500
0.000 0.000 0.000
0.667 0.333 0.303
0.333 0.667 0.697
```

Properties
Raw formation energy = -1.995 eV/atom
SG = No. 164

---

A relaxed structure of KSn2AsO. Source: Alexandria, functional PBE-GGA.

Structure (POSCAR):
```
KSn2AsO
1.0
-0.667 -2.850 -3.829
4.035 2.061 -2.237
2.824 -3.353 2.004
O As K Sn
1 1 1 2
direct
0.000 0.000 0.000
0.500 0.500 0.500
0.000 0.500 0.000
0.500 0.000 0.000
0.000 0.000 0.500
```

Properties
Raw formation energy = -0.405 eV/atom
SG = No. 123

---

A relaxed structure of KSnAsO5. Source: Alexandria, functional PBE-GGA.

Structure (POSCAR):
```
KSnAsO5
1.0
-2.982 2.475 -4.562
-0.031 -5.895 -1.041
-4.421 0.921 5.894
As Sn O K
2 2 10 2
direct
0.309 0.691 0.750
0.691 0.309 0.250
0.000 0.000 0.500
0.000 0.000 0.000
0.395 0.231 0.085
0.071 0.929 0.250
0.605 0.769 0.915
0.769 0.605 0.415
0.695 0.109 0.382
0.109 0.695 0.882
0.929 0.071 0.750
0.305 0.891 0.618
0.231 0.395 0.585
0.891 0.305 0.118
0.662 0.338 0.750
0.338 0.662 0.250
```

Properties
Raw formation energy = -1.542 eV/atom
Offset from the most stable computed form = 53 meV/atom
SG = No. 15

---

A relaxed structure of K2SnAsO. Source: Alexandria, functional PBE-GGA.

Structure (POSCAR):
```
K2SnAsO
1.0
-1.487 0.007 5.098
6.601 0.155 1.925
-1.811 8.000 -0.540
Sn K As O
2 4 2 2
direct
0.250 0.620 0.642
0.750 0.380 0.358
0.750 0.967 0.618
0.250 0.249 0.899
0.250 0.033 0.382
0.750 0.751 0.101
0.250 0.506 0.293
0.750 0.494 0.707
0.250 0.919 0.683
0.750 0.081 0.317
```

Properties
Raw formation energy = -0.873 eV/atom
SG = No. 11

---

A relaxed structure of K3SnAs2O8. Source: Alexandria, functional PBE-GGA.

Structure (POSCAR):
```
K3SnAs2O8
1.0
-3.196 -4.115 -2.741
4.031 -1.577 3.990
-5.332 0.437 5.559
K O As Sn
3 8 2 1
direct
0.000 0.000 0.000
0.333 0.667 0.695
0.667 0.333 0.305
0.333 0.667 0.028
0.655 0.828 0.328
0.172 0.828 0.328
0.828 0.655 0.672
0.345 0.172 0.672
0.172 0.345 0.328
0.667 0.333 0.972
0.828 0.172 0.672
0.667 0.333 0.755
0.333 0.667 0.245
0.000 0.000 0.500
```

Properties
Raw formation energy = -1.523 eV/atom
SG = No. 164

---

A relaxed structure of KSnAsO5. Source: Alexandria, functional PBE-GGA.

Structure (POSCAR):
```
KSnAsO5
1.0
-3.633 5.607 1.369
-5.788 -5.624 7.678
9.154 3.602 9.539
As Sn O K
8 8 40 8
direct
0.334 0.748 0.502
0.166 0.748 0.002
0.498 0.502 0.823
0.834 0.248 0.998
0.666 0.248 0.498
0.002 0.502 0.323
0.502 0.002 0.177
0.998 0.002 0.677
0.246 0.750 0.750
0.000 0.999 0.126
0.500 0.999 0.626
0.254 0.750 0.250
0.754 0.250 0.250
0.746 0.250 0.750
0.000 0.499 0.874
0.500 0.499 0.374
0.477 0.625 0.747
0.308 0.028 0.100
0.955 0.377 0.767
0.983 0.373 0.989
0.697 0.973 0.101
0.183 0.771 0.403
0.455 0.877 0.733
0.683 0.271 0.097
0.545 0.377 0.267
0.530 0.386 0.741
0.030 0.886 0.759
0.995 0.129 0.010
0.505 0.129 0.510
0.045 0.877 0.233
0.192 0.028 0.600
0.025 0.635 0.777
0.517 0.373 0.489
0.523 0.125 0.253
0.808 0.528 0.400
0.970 0.386 0.241
0.303 0.473 0.899
0.525 0.135 0.723
0.495 0.629 0.490
0.321 0.726 0.100
0.470 0.886 0.259
0.679 0.226 0.900
0.483 0.873 0.511
0.005 0.629 0.990
0.975 0.135 0.223
0.475 0.635 0.277
0.023 0.625 0.247
0.179 0.726 0.600
0.017 0.873 0.011
0.817 0.271 0.597
0.317 0.771 0.903
0.692 0.528 0.900
0.803 0.973 0.601
0.197 0.473 0.399
0.977 0.125 0.753
0.821 0.226 0.400
0.275 0.298 0.130
0.190 0.061 0.388
0.310 0.061 0.888
0.725 0.798 0.870
0.810 0.561 0.612
0.775 0.798 0.370
0.225 0.298 0.630
0.690 0.561 0.112
```

Properties
Raw formation energy = -1.595 eV/atom
Offset from the most stable computed form = 0 meV/atom
SG = No. 33